(1)
Density functional theory data (GGA-PBE) for Pm4CuPb after structural relaxation.

```
data_Pm4CuPb
_cell_length_a 8.779
_cell_length_b 8.779
_cell_length_c 8.779
_cell_angle_alpha 131.75
_cell_angle_beta 131.75
_cell_angle_gamma 70.63
_space_group_name_H-M_alt 'P 1'
_space_group_IT_number 1
_space_group_name_Hall 'P 1'
loop_
_atom_site_label
_atom_site_fract_x
_atom_site_fract_y
_atom_site_fract_z
Pm1 0.036 0.536 0.848
Pm2 0.187 0.036 0.500
Pm3 0.313 0.813 0.848
Pm4 0.464 0.313 0.500
Pm5 0.536 0.687 0.500
Pm6 0.687 0.187 0.152
Pm7 0.813 0.964 0.500
Pm8 0.964 0.464 0.152
Cu1 0.250 0.250 0.000
Cu2 0.750 0.750 0.000
Pb1 0.000 0.000 0.000
Pb2 0.500 0.500 0.000
```

Output
Formation enthalpy at 0 K (eV per atom): -0.1560
M_tot (μB per cell): 0.0
SG: No. 140
DOS(E_F) (states/eV per cell): 15.99

=====

(2)
Density functional theory data (GGA-PBE) for Tl5Cl after structural relaxation.

```
data_Tl5Cl
_cell_length_a 3.927
_cell_length_b 3.927
_cell_length_c 11.917
_cell_angle_alpha 90.00
_cell_angle_beta 90.00
_cell_angle_gamma 90.00
_space_group_name_H-M_alt 'P 1'
_space_group_IT_number 1
_space_group_name_Hall 'P 1'
loop_
_atom_site_label
_atom_site_fract_x
_atom_site_fract_y
_atom_site_fract_z
Tl1 0.000 0.000 0.000
Tl2 0.000 0.000 0.347
Tl3 0.000 0.000 0.653
Tl4 0.500 0.500 0.159
Tl5 0.500 0.500 0.841
Cl1 0.500 0.500 0.500
```

Output
E above lowest polymorph (eV/atom): 0.001
M_tot (μB per cell): 0.0
SG: No. 123
DOS(E_F) (states/eV per cell): 3.50

=====

(3)
Density functional theory data (GGA-PBE) for Li4SnPd after structural relaxation.

```
data_Li4SnPd
_cell_length_a 7.094
_cell_length_b 7.094
_cell_length_c 4.952
_cell_angle_alpha 102.20
_cell_angle_beta 102.20
_cell_angle_gamma 58.99
_space_group_name_H-M_alt 'P 1'
_space_group_IT_number 1
_space_group_name_Hall 'P 1'
loop_
_atom_site_label
_atom_site_fract_x
_atom_site_fract_y
_atom_site_fract_z
Li1 0.066 0.678 0.413
Li2 0.197 0.803 0.000
Li3 0.322 0.934 0.587
Li4 0.337 0.337 0.709
Li5 0.663 0.663 0.291
Li6 0.678 0.066 0.413
Li7 0.803 0.197 0.000
Li8 0.934 0.322 0.587
Sn1 0.213 0.213 0.126
Sn2 0.787 0.787 0.874
Pd1 0.441 0.441 0.230
Pd2 0.559 0.559 0.770
```

Output
Formation enthalpy at 0 K (eV per atom): -0.3281
E above lowest polymorph (eV/atom): 0.116
M_tot (μB per cell): 0.0
SG: No. 12
DOS(E_F) (states/eV per cell): 4.85

=====

(4)
Density functional theory data (GGA-PBE) for BaSiGe2 after structural relaxation.

```
data_BaSiGe2
_cell_length_a 9.540
_cell_length_b 9.540
_cell_length_c 9.540
_cell_angle_alpha 148.97
_cell_angle_beta 148.97
_cell_angle_gamma 44.46
_space_group_name_H-M_alt 'P 1'
_space_group_IT_number 1
_space_group_name_Hall 'P 1'
loop_
_atom_site_label
_atom_site_fract_x
_atom_site_fract_y
_atom_site_fract_z
Ba1 0.000 0.000 0.000
Ba2 0.750 0.250 0.500
Si1 0.250 0.750 0.500
Si2 0.500 0.500 0.000
Ge1 0.350 0.625 0.225
Ge2 0.375 0.600 0.725
Ge3 0.400 0.125 0.775
Ge4 0.875 0.650 0.275
```

Output
M_tot (μB per cell): 0.0
SG: No. 122
DOS(E_F) (states/eV per cell): 2.33
Energy (eV per formula unit): -17.12

=====

(5)
Density functional theory data (GGA-PBE) for KMg2Pt after structural relaxation.

```
data_KMg2Pt
_cell_length_a 4.970
_cell_length_b 4.970
_cell_length_c 4.970
_cell_angle_alpha 60.00
_cell_angle_beta 60.00
_cell_angle_gamma 60.00
_space_group_name_H-M_alt 'P 1'
_space_group_IT_number 1
_space_group_name_Hall 'P 1'
loop_
_atom_site_label
_atom_site_fract_x
_atom_site_fract_y
_atom_site_fract_z
K1 0.000 0.000 0.000
Mg1 0.250 0.250 0.250
Mg2 0.750 0.750 0.750
Pt1 0.500 0.500 0.500
```

Output
Formation enthalpy at 0 K (eV per atom): -0.0758
E above lowest polymorph (eV/atom): 0.237
M_tot (μB per cell): 0.0
SG: No. 225
DOS(E_F) (states/eV per cell): 1.65

=====

(6)
Density functional theory data (GGA-PBE) for YCrTc2 after structural relaxation.

```
data_YCrTc2
_cell_length_a 8.917
_cell_length_b 8.917
_cell_length_c 8.917
_cell_angle_alpha 19.35
_cell_angle_beta 19.35
_cell_angle_gamma 19.35
_space_group_name_H-M_alt 'P 1'
_space_group_IT_number 1
_space_group_name_Hall 'P 1'
loop_
_atom_site_label
_atom_site_fract_x
_atom_site_fract_y
_atom_site_fract_z
Y1 0.000 0.000 0.000
Cr1 0.760 0.760 0.760
Tc1 0.236 0.236 0.236
Tc2 0.493 0.493 0.493
```

Output
Formation enthalpy at 0 K (eV per atom): 0.5568
E above lowest polymorph (eV/atom): 0.381
M_tot (μB per cell): 0.0
SG: No. 160
DOS(E_F) (states/eV per cell): 4.15

=====

(7)
Density functional theory data (GGA-PBE) for AcLa3SmHo after structural relaxation.

```
data_AcLa3SmHo
_cell_length_a 10.990
_cell_length_b 10.990
_cell_length_c 7.098
_cell_angle_alpha 91.31
_cell_angle_beta 91.31
_cell_angle_gamma 31.55
_space_group_name_H-M_alt 'P 1'
_space_group_IT_number 1
_space_group_name_Hall 'P 1'
loop_
_atom_site_label
_atom_site_fract_x
_atom_site_fract_y
_atom_site_fract_z
Ac1 0.149 0.149 0.034
Ac2 0.851 0.851 0.966
La1 0.015 0.015 0.748
La2 0.281 0.281 0.716
La3 0.342 0.342 0.252
La4 0.658 0.658 0.748
La5 0.719 0.719 0.284
La6 0.985 0.985 0.252
Sm1 0.442 0.442 0.715
Sm2 0.558 0.558 0.285
Ho1 0.140 0.140 0.493
Ho2 0.860 0.860 0.507
```

Output
Formation enthalpy at 0 K (eV per atom): 0.1782
M_tot (μB per cell): 0.0
SG: No. 12
DOS(E_F) (states/eV per cell): 17.72

=====

(8)
Density functional theory data (GGA-PBE) for Ti7Al3Zn after structural relaxation.

```
data_Ti7Al3Zn
_cell_length_a 11.757
_cell_length_b 11.757
_cell_length_c 10.657
_cell_angle_alpha 90.00
_cell_angle_beta 90.00
_cell_angle_gamma 165.51
_space_group_name_H-M_alt 'P 1'
_space_group_IT_number 1
_space_group_name_Hall 'P 1'
loop_
_atom_site_label
_atom_site_fract_x
_atom_site_fract_y
_atom_site_fract_z
Ti1 0.005 0.995 0.623
Ti2 0.005 0.995 0.877
Ti3 0.126 0.874 0.250
Ti4 0.160 0.840 0.617
Ti5 0.160 0.840 0.883
Ti6 0.294 0.706 0.572
Ti7 0.294 0.706 0.928
Ti8 0.706 0.294 0.072
Ti9 0.706 0.294 0.428
Ti10 0.840 0.160 0.117
Ti11 0.840 0.160 0.383
Ti12 0.874 0.126 0.750
Ti13 0.995 0.005 0.123
Ti14 0.995 0.005 0.377
Al1 0.260 0.740 0.250
Al2 0.413 0.587 0.529
Al3 0.413 0.587 0.971
Al4 0.587 0.413 0.029
Al5 0.587 0.413 0.471
Al6 0.740 0.260 0.750
Zn1 0.418 0.582 0.250
Zn2 0.582 0.418 0.750
```

Output
Formation enthalpy at 0 K (eV per atom): -0.1789
M_tot (μB per cell): 0.0
SG: No. 63
DOS(E_F) (states/eV per cell): 20.93

=====

(9)
Density functional theory data (GGA-PBE) for Sm5Sn2Te2 after structural relaxation.

```
data_Sm5Sn2Te2
_cell_length_a 8.887
_cell_length_b 8.887
_cell_length_c 8.291
_cell_angle_alpha 90.00
_cell_angle_beta 90.00
_cell_angle_gamma 55.19
_space_group_name_H-M_alt 'P 1'
_space_group_IT_number 1
_space_group_name_Hall 'P 1'
loop_
_atom_site_label
_atom_site_fract_x
_atom_site_fract_y
_atom_site_fract_z
Sm1 0.000 0.000 0.000
Sm2 0.032 0.698 0.665
Sm3 0.198 0.532 0.165
Sm4 0.302 0.968 0.665
Sm5 0.468 0.802 0.165
Sm6 0.500 0.500 0.500
Sm7 0.532 0.198 0.835
Sm8 0.698 0.032 0.335
Sm9 0.802 0.468 0.835
Sm10 0.968 0.302 0.335
Sn1 0.134 0.866 0.367
Sn2 0.366 0.634 0.867
Sn3 0.634 0.366 0.133
Sn4 0.866 0.134 0.633
Te1 0.202 0.202 0.000
Te2 0.298 0.298 0.500
Te3 0.702 0.702 0.500
Te4 0.798 0.798 0.000
```

Output
E above lowest polymorph (eV/atom): 0.000
M_tot (μB per cell): 0.0
SG: No. 64
DOS(E_F) (states/eV per cell): 17.28

=====

(10)
Density functional theory data (GGA-PBE) for LiDy2HfAs4 after structural relaxation.

```
data_LiDy2HfAs4
_cell_length_a 6.795
_cell_length_b 3.981
_cell_length_c 7.043
_cell_angle_alpha 90.00
_cell_angle_beta 109.58
_cell_angle_gamma 90.00
_space_group_name_H-M_alt 'P 1'
_space_group_IT_number 1
_space_group_name_Hall 'P 1'
loop_
_atom_site_label
_atom_site_fract_x
_atom_site_fract_y
_atom_site_fract_z
Li1 0.000 0.000 0.000
Dy1 0.500 0.000 0.500
Dy2 0.500 0.500 0.000
Hf1 0.000 0.500 0.500
As1 0.232 0.000 0.741
As2 0.233 0.500 0.251
As3 0.767 0.500 0.749
As4 0.768 0.000 0.259
```

Output
Formation enthalpy at 0 K (eV per atom): -1.0483
M_tot (μB per cell): 0.0
SG: No. 10
DOS(E_F) (states/eV per cell): 3.70

=====

(11)
Density functional theory data (GGA-PBE) for PmPrSn4 after structural relaxation.

```
data_PmPrSn4
_cell_length_a 6.227
_cell_length_b 6.227
_cell_length_c 6.227
_cell_angle_alpha 60.00
_cell_angle_beta 60.00
_cell_angle_gamma 60.00
_space_group_name_H-M_alt 'P 1'
_space_group_IT_number 1
_space_group_name_Hall 'P 1'
loop_
_atom_site_label
_atom_site_fract_x
_atom_site_fract_y
_atom_site_fract_z
Pm1 0.000 0.000 0.000
Pr1 0.250 0.250 0.250
Sn1 0.125 0.625 0.625
Sn2 0.625 0.125 0.625
Sn3 0.625 0.625 0.125
Sn4 0.625 0.625 0.625
```

Output
Formation enthalpy at 0 K (eV per atom): -0.3516
E above lowest polymorph (eV/atom): 0.000
M_tot (μB per cell): 0.8
SG: No. 216
DOS(E_F) (states/eV per cell): 7.12

=====

(12)
Density functional theory data (GGA-PBE) for SmLuC after structural relaxation.

```
data_SmLuC
_cell_length_a 3.562
_cell_length_b 3.562
_cell_length_c 6.288
_cell_angle_alpha 90.00
_cell_angle_beta 90.00
_cell_angle_gamma 120.00
_space_group_name_H-M_alt 'P 1'
_space_group_IT_number 1
_space_group_name_Hall 'P 1'
loop_
_atom_site_label
_atom_site_fract_x
_atom_site_fract_y
_atom_site_fract_z
Sm1 0.000 0.000 0.000
Lu1 0.333 0.667 0.431
C1 0.667 0.333 0.232
```

Output
Formation enthalpy at 0 K (eV per atom): -0.2285
M_tot (μB per cell): 0.0
SG: No. 156
DOS(E_F) (states/eV per cell): 2.03

=====

(13)
Density functional theory data (GGA-PBE) for ZrGa2Hg2 after structural relaxation.

```
data_ZrGa2Hg2
_cell_length_a 8.658
_cell_length_b 8.658
_cell_length_c 8.658
_cell_angle_alpha 155.71
_cell_angle_beta 155.71
_cell_angle_gamma 34.61
_space_group_name_H-M_alt 'P 1'
_space_group_IT_number 1
_space_group_name_Hall 'P 1'
loop_
_atom_site_label
_atom_site_fract_x
_atom_site_fract_y
_atom_site_fract_z
Zr1 0.000 0.000 0.000
Ga1 0.250 0.750 0.500
Ga2 0.750 0.250 0.500
Hg1 0.396 0.396 0.000
Hg2 0.604 0.604 0.000
```

Output
Formation enthalpy at 0 K (eV per atom): 0.1140
E above lowest polymorph (eV/atom): 0.113
M_tot (μB per cell): 0.2
SG: No. 139
DOS(E_F) (states/eV per cell): 3.00

=====

(14)
Density functional theory data (GGA-PBE) for ZnAs2W after structural relaxation.

```
data_ZnAs2W
_cell_length_a 10.244
_cell_length_b 10.244
_cell_length_c 10.244
_cell_angle_alpha 16.83
_cell_angle_beta 16.83
_cell_angle_gamma 16.83
_space_group_name_H-M_alt 'P 1'
_space_group_IT_number 1
_space_group_name_Hall 'P 1'
loop_
_atom_site_label
_atom_site_fract_x
_atom_site_fract_y
_atom_site_fract_z
Zn1 0.000 0.000 0.000
As1 0.530 0.530 0.530
As2 0.732 0.732 0.732
W1 0.261 0.261 0.261
```

Output
Formation enthalpy at 0 K (eV per atom): 0.3102
M_tot (μB per cell): 0.0
SG: No. 160
DOS(E_F) (states/eV per cell): 2.04

=====

(15)
Density functional theory data (GGA-PBE) for Sr2TiRuI after structural relaxation.

```
data_Sr2TiRuI
_cell_length_a 6.133
_cell_length_b 6.133
_cell_length_c 4.880
_cell_angle_alpha 90.00
_cell_angle_beta 90.00
_cell_angle_gamma 90.00
_space_group_name_H-M_alt 'P 1'
_space_group_IT_number 1
_space_group_name_Hall 'P 1'
loop_
_atom_site_label
_atom_site_fract_x
_atom_site_fract_y
_atom_site_fract_z
Sr1 0.000 0.500 0.000
Sr2 0.500 0.000 0.000
Ti1 0.000 0.000 0.500
Ru1 0.500 0.500 0.500
I1 0.500 0.500 0.000
```

Output
M_tot (μB per cell): 3.0
SG: No. 123
DOS(E_F) (states/eV per cell): 8.91
Energy (eV per formula unit): -18.11

=====

(16)
Density functional theory data (GGA-PBE) for RbTlIr2Rh after structural relaxation.

```
data_RbTlIr2Rh
_cell_length_a 5.143
_cell_length_b 5.143
_cell_length_c 5.179
_cell_angle_alpha 90.00
_cell_angle_beta 90.00
_cell_angle_gamma 90.00
_space_group_name_H-M_alt 'P 1'
_space_group_IT_number 1
_space_group_name_Hall 'P 1'
loop_
_atom_site_label
_atom_site_fract_x
_atom_site_fract_y
_atom_site_fract_z
Rb1 0.000 0.000 0.000
Tl1 0.500 0.500 0.500
Ir1 0.000 0.500 0.500
Ir2 0.500 0.000 0.500
Rh1 0.500 0.500 0.000
```

Output
Formation enthalpy at 0 K (eV per atom): 1.7157
M_tot (μB per cell): 2.5
SG: No. 123
DOS(E_F) (states/eV per cell): 8.59

=====

(17)
Density functional theory data (GGA-PBE) for ZrPt2AuCl after structural relaxation.

```
data_ZrPt2AuCl
_cell_length_a 4.571
_cell_length_b 4.571
_cell_length_c 4.683
_cell_angle_alpha 90.00
_cell_angle_beta 90.00
_cell_angle_gamma 90.00
_space_group_name_H-M_alt 'P 1'
_space_group_IT_number 1
_space_group_name_Hall 'P 1'
loop_
_atom_site_label
_atom_site_fract_x
_atom_site_fract_y
_atom_site_fract_z
Zr1 0.000 0.000 0.000
Pt1 0.000 0.500 0.500
Pt2 0.500 0.000 0.500
Au1 0.500 0.500 0.000
Cl1 0.000 0.000 0.500
```

Output
M_tot (μB per cell): 0.0
SG: No. 123
DOS(E_F) (states/eV per cell): 3.23
Energy (eV per formula unit): -23.71

=====

(18)
Density functional theory data (GGA-PBE) for LaCuSbO after structural relaxation.

```
data_LaCuSbO
_cell_length_a 4.087
_cell_length_b 4.087
_cell_length_c 9.943
_cell_angle_alpha 90.00
_cell_angle_beta 90.00
_cell_angle_gamma 90.00
_space_group_name_H-M_alt 'P 1'
_space_group_IT_number 1
_space_group_name_Hall 'P 1'
loop_
_atom_site_label
_atom_site_fract_x
_atom_site_fract_y
_atom_site_fract_z
La1 0.250 0.250 0.122
La2 0.750 0.750 0.878
Cu1 0.250 0.750 0.500
Cu2 0.750 0.250 0.500
Sb1 0.250 0.250 0.667
Sb2 0.750 0.750 0.333
O1 0.250 0.750 0.000
O2 0.750 0.250 0.000
```

Output
M_tot (μB per cell): 0.0
SG: No. 129
DOS(E_F) (states/eV per cell): 2.08
Energy (eV per formula unit): -24.86

=====

(19)
Density functional theory data (GGA-PBE) for PmSb2Ru after structural relaxation.

```
data_PmSb2Ru
_cell_length_a 5.040
_cell_length_b 5.040
_cell_length_c 5.040
_cell_angle_alpha 60.00
_cell_angle_beta 60.00
_cell_angle_gamma 60.00
_space_group_name_H-M_alt 'P 1'
_space_group_IT_number 1
_space_group_name_Hall 'P 1'
loop_
_atom_site_label
_atom_site_fract_x
_atom_site_fract_y
_atom_site_fract_z
Pm1 0.000 0.000 0.000
Sb1 0.250 0.250 0.250
Sb2 0.750 0.750 0.750
Ru1 0.500 0.500 0.500
```

Output
E above lowest polymorph (eV/atom): 0.496
M_tot (μB per cell): 0.6
SG: No. 225
DOS(E_F) (states/eV per cell): 4.98

=====

(20)
Density functional theory data (GGA-PBE) for TaBePb2 after structural relaxation.

```
data_TaBePb2
_cell_length_a 11.043
_cell_length_b 11.043
_cell_length_c 11.043
_cell_angle_alpha 16.38
_cell_angle_beta 16.38
_cell_angle_gamma 16.38
_space_group_name_H-M_alt 'P 1'
_space_group_IT_number 1
_space_group_name_Hall 'P 1'
loop_
_atom_site_label
_atom_site_fract_x
_atom_site_fract_y
_atom_site_fract_z
Ta1 0.000 0.000 0.000
Be1 0.726 0.726 0.726
Pb1 0.253 0.253 0.253
Pb2 0.465 0.465 0.465
```

Output
Formation enthalpy at 0 K (eV per atom): 0.5570
M_tot (μB per cell): 0.0
SG: No. 160
DOS(E_F) (states/eV per cell): 2.10